TcHg3C: optimized geometry, GGA-PBEsol. Values from VASP.

Geometry as Quantum ESPRESSO input:
```
&SYSTEM
  ibrav = 0, nat = 5, ntyp = 3
/
ATOMIC_SPECIES
C 12.01 C.upf
Hg 200.59 Hg.upf
Tc 98.00 Tc.upf
ATOMIC_POSITIONS crystal
C 0.000 0.000 0.000
Hg 0.500 0.000 0.000
Hg 0.000 0.000 0.500
Hg 0.000 0.500 0.000
Tc 0.500 0.500 0.500
CELL_PARAMETERS angstrom
-1.965 -3.980 0.525
2.674 -1.734 -3.134
2.994 -1.063 3.143
```

Summary:
space group = No. 221
mass density = 13.24 g/cm³
total magnetization = 2.14 Bohr magnetons per cell
E_tot = -2.9161 eV per atom
E_form = 1.606 eV per atom



Ti3HgC: optimized geometry, GGA-PBEsol. Values from VASP.

Geometry as Quantum ESPRESSO input:
```
&SYSTEM
  ibrav = 0, nat = 5, ntyp = 3
/
ATOMIC_SPECIES
Ti 47.87 Ti.upf
Hg 200.59 Hg.upf
C 12.01 C.upf
ATOMIC_POSITIONS crystal
Ti 0.500 0.000 0.500
Ti 0.000 0.500 0.500
Ti 0.500 0.500 0.000
Hg 0.000 0.000 0.000
C 0.500 0.500 0.500
CELL_PARAMETERS angstrom
4.182 0.000 0.000
0.000 4.182 0.000
0.000 0.000 4.182
```

Summary:
space group = No. 221
mass density = 8.08 g/cm³
total magnetization = 0.00 Bohr magnetons per cell
E_tot = -7.6152 eV per atom
E_form = -0.580 eV per atom



ZnHgC3: optimized geometry, GGA-PBEsol. Values from VASP.

Geometry as Quantum ESPRESSO input:
```
&SYSTEM
  ibrav = 0, nat = 5, ntyp = 3
/
ATOMIC_SPECIES
C 12.01 C.upf
Zn 65.41 Zn.upf
Hg 200.59 Hg.upf
ATOMIC_POSITIONS crystal
C 0.000 0.000 0.500
C 0.000 0.500 0.000
C 0.500 0.000 0.000
Zn 0.000 0.000 0.000
Hg 0.500 0.500 0.500
CELL_PARAMETERS angstrom
4.003 0.000 0.000
0.000 4.003 0.000
0.000 0.000 4.003
```

Summary:
space group = No. 221
mass density = 7.82 g/cm³
total magnetization = 0.00 Bohr magnetons per cell
E_tot = -3.3551 eV per atom
E_form = 2.861 eV per atom



ZrHgC2: optimized geometry, GGA-PBEsol. Values from VASP.

Geometry as Quantum ESPRESSO input:
```
&SYSTEM
  ibrav = 0, nat = 8, ntyp = 3
/
ATOMIC_SPECIES
Hg 200.59 Hg.upf
Zr 91.22 Zr.upf
C 12.01 C.upf
ATOMIC_POSITIONS crystal
Hg 0.250 0.750 0.500
Hg 0.000 0.000 0.000
Zr 0.500 0.500 0.000
Zr 0.750 0.250 0.500
C 0.625 0.613 0.750
C 0.125 0.137 0.750
C 0.387 0.875 0.250
C 0.863 0.375 0.250
CELL_PARAMETERS angstrom
5.020 0.000 0.000
0.000 5.020 0.000
-2.510 -2.510 5.170
```

Summary:
space group = No. 122
mass density = 8.05 g/cm³
total magnetization = 0.00 Bohr magnetons per cell
E_tot = -6.1523 eV per atom
E_form = 1.084 eV per atom